Cr2H2Pt: single point on PBEsol structure, meta-GGA SCAN.

POSCAR file:
```
Cr2H2Pt
1.0
-1.636 1.636 4.055
1.636 -1.636 4.055
1.636 1.636 -4.055
Cr H Pt
2 2 1
Direct
0.164 0.164 0.000
0.836 0.836 0.000
0.250 0.750 0.500
0.750 0.250 0.500
0.500 0.500 0.000
```

Summary:
Electronic total energy = -113.90 eV/f.u.
N(E_F) = 0.578 states/eV per atom

---

CrHPtRh2: single point on PBEsol structure, meta-GGA SCAN.

POSCAR file:
```
CrHPtRh2
1.0
3.818 0.000 0.000
0.000 3.818 0.000
0.000 0.000 3.853
Cr H Pt Rh
1 1 1 2
Direct
0.000 0.000 0.000
0.000 0.000 0.500
0.500 0.500 0.000
0.000 0.500 0.500
0.500 0.000 0.500
```

Summary:
Electronic total energy = -160.73 eV/f.u.
N(E_F) = 0.763 states/eV per atom

---

Cr3ReH: single point on PBEsol structure, meta-GGA SCAN.

POSCAR file:
```
Cr3ReH
1.0
3.696 0.000 0.000
0.000 3.696 0.000
0.000 0.000 3.696
Cr Re H
3 1 1
Direct
0.000 0.000 0.500
0.000 0.500 0.000
0.500 0.000 0.000
0.500 0.500 0.500
0.000 0.000 0.000
```

Summary:
Electronic total energy = -128.86 eV/f.u.
N(E_F) = 0.819 states/eV per atom

---

CrReH2: single point on PBEsol structure, meta-GGA SCAN.

POSCAR file:
```
CrReH2
1.0
0.000 2.522 2.522
2.522 0.000 2.522
2.522 2.522 0.000
Cr Re H
1 1 2
Direct
0.000 0.000 0.000
0.500 0.500 0.500
0.250 0.250 0.250
0.750 0.750 0.750
```

Summary:
Electronic total energy = -92.96 eV/f.u.
N(E_F) = 0.681 states/eV per atom

---

Cr2ReH: single point on PBEsol structure, meta-GGA SCAN.

POSCAR file:
```
Cr2ReH
1.0
0.000 2.830 2.830
2.830 0.000 2.830
2.830 2.830 0.000
Cr Re H
2 1 1
Direct
0.250 0.250 0.250
0.750 0.750 0.750
0.000 0.000 0.000
0.500 0.500 0.500
```

Summary:
Electronic total energy = -108.54 eV/f.u.
N(E_F) = 0.688 states/eV per atom

---

CrReSiH2: single point on PBEsol structure, meta-GGA SCAN.

POSCAR file:
```
CrReSiH2
1.0
3.454 0.000 0.000
0.000 3.454 0.000
0.000 0.000 4.663
Cr Re Si H
1 1 1 2
Direct
0.000 0.000 0.000
0.500 0.500 0.500
0.500 0.500 0.000
0.000 0.500 0.500
0.500 0.000 0.500
```

Summary:
Electronic total energy = -103.54 eV/f.u.
N(E_F) = 0.534 states/eV per atom

---

Cr3HRh: single point on PBEsol structure, meta-GGA SCAN.

POSCAR file:
```
Cr3HRh
1.0
3.664 0.000 0.000
0.000 3.664 0.000
0.000 0.000 3.664
Cr H Rh
3 1 1
Direct
0.000 0.000 0.500
0.000 0.500 0.000
0.500 0.000 0.000
0.000 0.000 0.000
0.500 0.500 0.500
```

Summary:
Electronic total energy = -92.03 eV/f.u.
N(E_F) = 0.864 states/eV per atom

---

CrH2Rh2: single point on PBEsol structure, meta-GGA SCAN.

POSCAR file:
```
CrH2Rh2
1.0
-1.367 1.367 5.893
1.367 -1.367 5.893
1.367 1.367 -5.893
Cr H Rh
1 2 2
Direct
0.000 0.000 0.000
0.250 0.750 0.500
0.750 0.250 0.500
0.357 0.357 0.000
0.643 0.643 0.000
```

Summary:
Electronic total energy = -92.96 eV/f.u.
N(E_F) = 0.447 states/eV per atom

---

CrHRu3: single point on PBEsol structure, meta-GGA SCAN.

POSCAR file:
```
CrHRu3
1.0
3.778 0.000 0.000
0.000 3.778 0.000
0.000 0.000 3.778
Cr H Ru
1 1 3
Direct
0.000 0.000 0.000
0.500 0.500 0.500
0.000 0.500 0.500
0.500 0.000 0.500
0.500 0.500 0.000
```

Summary:
Electronic total energy = -125.93 eV/f.u.
N(E_F) = 0.974 states/eV per atom

---

Cr2H2Ru: single point on PBEsol structure, meta-GGA SCAN.

POSCAR file:
```
Cr2H2Ru
1.0
-1.347 1.347 5.647
1.347 -1.347 5.647
1.347 1.347 -5.647
Cr H Ru
2 2 1
Direct
0.152 0.152 0.000
0.848 0.848 0.000
0.250 0.750 0.500
0.750 0.250 0.500
0.500 0.500 0.000
```

Summary:
Electronic total energy = -78.22 eV/f.u.
N(E_F) = 0.606 states/eV per atom

---

CrHRu2: single point on PBEsol structure, meta-GGA SCAN.

POSCAR file:
```
CrHRu2
1.0
0.000 2.793 2.793
2.793 0.000 2.793
2.793 2.793 0.000
Cr H Ru
1 1 2
Direct
0.000 0.000 0.000
0.500 0.500 0.500
0.250 0.250 0.250
0.750 0.750 0.750
```

Summary:
Electronic total energy = -89.51 eV/f.u.
N(E_F) = 0.667 states/eV per atom

---

Cr3HRu: single point on PBEsol structure, meta-GGA SCAN.

POSCAR file:
```
Cr3HRu
1.0
3.664 0.000 0.000
0.000 3.664 0.000
0.000 0.000 3.664
Cr H Ru
3 1 1
Direct
0.000 0.000 0.500
0.000 0.500 0.000
0.500 0.000 0.000
0.000 0.000 0.000
0.500 0.500 0.500
```

Summary:
Electronic total energy = -92.69 eV/f.u.
N(E_F) = 0.808 states/eV per atom

---

CrSn2HRu: single point on PBEsol structure, meta-GGA SCAN.

POSCAR file:
```
CrSn2HRu
1.0
5.029 0.000 0.000
0.000 5.029 0.000
0.000 0.000 3.135
Cr Sn H Ru
1 2 1 1
Direct
0.000 0.000 0.000
0.000 0.500 0.000
0.500 0.000 0.000
0.000 0.000 0.500
0.500 0.500 0.500
```

Summary:
Electronic total energy = -125.70 eV/f.u.
N(E_F) = 0.483 states/eV per atom

---

ZnCrSbH2: single point on PBEsol structure, meta-GGA SCAN.

POSCAR file:
```
ZnCrSbH2
1.0
3.708 0.000 0.000
0.000 3.708 0.000
0.000 0.000 5.380
Zn Cr Sb H
1 1 1 2
Direct
0.000 0.000 0.000
0.500 0.500 0.500
0.500 0.500 0.000
0.000 0.500 0.500
0.500 0.000 0.500
```

Summary:
Electronic total energy = -75.08 eV/f.u.
N(E_F) = 0.374 states/eV per atom

---

CrH3Se: single point on PBEsol structure, meta-GGA SCAN.

POSCAR file:
```
CrH3Se
1.0
3.752 0.000 0.000
0.000 3.752 0.000
0.000 0.000 3.752
Cr H Se
1 3 1
Direct
0.000 0.000 0.000
0.000 0.500 0.500
0.500 0.000 0.500
0.500 0.500 0.000
0.500 0.500 0.500
```

Summary:
Electronic total energy = -44.29 eV/f.u.
N(E_F) = 0.359 states/eV per atom

---

Cr3HSe: single point on PBEsol structure, meta-GGA SCAN.

POSCAR file:
```
Cr3HSe
1.0
3.715 0.000 0.000
0.000 3.715 0.000
0.000 0.000 3.715
Cr H Se
3 1 1
Direct
0.000 0.000 0.500
0.000 0.500 0.000
0.500 0.000 0.000
0.000 0.000 0.000
0.500 0.500 0.500
```

Summary:
Electronic total energy = -77.56 eV/f.u.
N(E_F) = 0.859 states/eV per atom

---

CrSiHW2: single point on PBEsol structure, meta-GGA SCAN.

POSCAR file:
```
CrSiHW2
1.0
4.431 0.000 0.000
0.000 4.431 0.000
0.000 0.000 4.305
Cr Si H W
1 1 1 2
Direct
0.000 0.000 0.000
0.000 0.000 0.500
0.500 0.500 0.500
0.000 0.500 0.000
0.500 0.000 0.000
```

Summary:
Electronic total energy = -161.05 eV/f.u.
N(E_F) = 0.767 states/eV per atom

---

Ta3CrH: single point on PBEsol structure, meta-GGA SCAN.

POSCAR file:
```
Ta3CrH
1.0
4.111 0.000 0.000
0.000 4.111 0.000
0.000 0.000 4.111
Ta Cr H
3 1 1
Direct
0.000 0.000 0.500
0.000 0.500 0.000
0.500 0.000 0.000
0.500 0.500 0.500
0.000 0.000 0.000
```

Summary:
Electronic total energy = -220.74 eV/f.u.
N(E_F) = 0.665 states/eV per atom

---

Cr2TcH2: single point on PBEsol structure, meta-GGA SCAN.

POSCAR file:
```
Cr2TcH2
1.0
-1.357 1.357 5.673
1.357 -1.357 5.673
1.357 1.357 -5.673
Cr Tc H
2 1 2
Direct
0.153 0.153 0.000
0.847 0.847 0.000
0.500 0.500 0.000
0.250 0.750 0.500
0.750 0.250 0.500
```

Summary:
Electronic total energy = -78.14 eV/f.u.
N(E_F) = 0.584 states/eV per atom

---

CrTcH3: single point on PBEsol structure, meta-GGA SCAN.

POSCAR file:
```
CrTcH3
1.0
3.238 0.000 0.000
0.000 3.238 0.000
0.000 0.000 3.238
Cr Tc H
1 1 3
Direct
0.000 0.000 0.000
0.500 0.500 0.500
0.000 0.000 0.500
0.000 0.500 0.000
0.500 0.000 0.000
```

Summary:
Electronic total energy = -61.82 eV/f.u.
N(E_F) = 0.280 states/eV per atom